Crystalline LaTlAgSn at its relaxed geometry, computed with PBE.

Output
E: -15.3 eV/cell
Volume: 26.53 Å³ per atom
SG: F-43m (216)

a = 5.314 Å, b = 5.314 Å, c = 5.314 Å
α = 60.00°, β = 60.00°, γ = 60.00°
Fractional coordinates of all 4 atoms:
Tl (0.000, 0.000, 0.000)
Sn (0.250, 0.250, 0.250)
La (0.750, 0.750, 0.750)
Ag (0.500, 0.500, 0.500)